1.
An optimized crystal structure of BaZr2Tl. Source: the Alexandria database, functional PBE.

a = 3.4485 Å, b = 4.2036 Å, c = 8.1234 Å
α = 90.00°, β = 90.00°, γ = 90.00°
Fractional coordinates of all 4 atoms:
Ba1 0.0000 0.0000 0.0000
Zr1 0.5000 0.5000 0.3204
Zr2 0.5000 0.5000 0.6796
Tl1 0.0000 0.0000 0.5000

## Properties
E above lowest polymorph = 226 meV/atom
Size of the total moment = 0.000 μB/cell
ΔH_f (0 K) = 338 meV/atom
Symmetry = Pmmm, No. 47


2.
An optimized crystal structure of BaZr2Tl. Source: the Alexandria database, functional PBE.

a = 4.7701 Å, b = 4.7701 Å, c = 9.6645 Å
α = 90.00°, β = 90.00°, γ = 90.00°
Fractional coordinates of all 8 atoms:
Ba1 0.0000 0.0000 0.0000
Ba2 0.5000 0.5000 0.5000
Zr1 0.0000 0.5000 0.2500
Zr2 0.0000 0.5000 0.7500
Zr3 0.5000 0.0000 0.2500
Zr4 0.5000 0.0000 0.7500
Tl1 0.0000 0.0000 0.5000
Tl2 0.5000 0.5000 0.0000

## Properties
E above lowest polymorph = 340 meV/atom
Size of the total moment = 0.000 μB/cell
ΔH_f (0 K) = 452 meV/atom
Symmetry = I4/mmm, No. 139


3.
An optimized crystal structure of BaZrTl2. Source: the Alexandria database, functional PBE.

a = 3.7635 Å, b = 4.5787 Å, c = 7.6465 Å
α = 90.00°, β = 90.00°, γ = 90.00°
Fractional coordinates of all 4 atoms:
Ba1 0.0000 0.0000 0.0000
Zr1 0.5000 0.5000 0.6529
Tl1 0.0000 0.0000 0.5510
Tl2 0.5000 0.5000 0.2734

## Properties
Size of the total moment = 0.002 μB/cell
ΔH_f (0 K) = 149 meV/atom
Symmetry = Pmm2, No. 25


4.
An optimized crystal structure of BaZrTl. Source: the Alexandria database, functional PBE.

a = 7.6516 Å, b = 7.6516 Å, c = 7.6516 Å
α = 90.00°, β = 90.00°, γ = 90.00°
Fractional coordinates of all 12 atoms:
Ba1 0.0000 0.0000 0.0000
Ba2 0.0000 0.5000 0.5000
Ba3 0.5000 0.0000 0.5000
Ba4 0.5000 0.5000 0.0000
Zr1 0.0000 0.0000 0.5000
Zr2 0.0000 0.5000 0.0000
Zr3 0.5000 0.0000 0.0000
Zr4 0.5000 0.5000 0.5000
Tl1 0.2500 0.2500 0.2500
Tl2 0.2500 0.7500 0.7500
Tl3 0.7500 0.2500 0.7500
Tl4 0.7500 0.7500 0.2500

## Properties
E above lowest polymorph = 643 meV/atom
Size of the total moment = 6.052 μB/cell
ΔH_f (0 K) = 547 meV/atom
Symmetry = F-43m, No. 216